Entry 1:
VASP calculation (PBE) on CsHfS3 after structural relaxation.

Unit cell a=7.938 b=6.742 c=15.472 alpha=90.00 beta=118.33 gamma=90.00
Sites, in units of the cell vectors:
Cs 0.119 0.216 0.152
Cs 0.119 0.284 0.652
Cs 0.881 0.716 0.348
Cs 0.881 0.784 0.848
Hf 0.439 0.246 0.981
Hf 0.439 0.254 0.481
Hf 0.561 0.746 0.519
Hf 0.561 0.754 0.019
S 0.097 0.209 0.390
S 0.097 0.291 0.890
S 0.347 0.543 0.053
S 0.347 0.957 0.553
S 0.426 0.538 0.374
S 0.426 0.962 0.874
S 0.574 0.038 0.126
S 0.574 0.462 0.626
S 0.653 0.043 0.447
S 0.653 0.457 0.947
S 0.903 0.709 0.110
S 0.903 0.791 0.610

Results
As for the density of states at the Fermi level: 0.00 states/eV/cell. Its energy above the lowest structure with this stoichiometry is 188 meV/atom. As for the raw total energy: -5.847 eV per atom. The uncorrected formation energy comes out at -1209 meV/atom.


Entry 2:
VASP calculation (PBE) on LiZr2SiTe after structural relaxation.

Unit cell a=4.899 b=4.899 c=4.242 alpha=90.00 beta=90.00 gamma=90.00
Sites, in units of the cell vectors:
Li 0.000 0.000 0.000
Zr 0.000 0.500 0.000
Zr 0.500 0.000 0.000
Si 0.500 0.500 0.500
Te 0.000 0.000 0.500

Results
As for the density of states at the Fermi level: 4.77 states/eV/cell. As for the raw total energy: -5.095 eV per atom. The uncorrected formation energy comes out at 420 meV/atom.


The highest raw total energy belongs to which entry? LiZr2SiTe